Entry 1:
! AcDyRu PBE optimized geometry; values from VASP
&SYSTEM
  ibrav = 0, nat = 3, ntyp = 3
/
ATOMIC_SPECIES
Ru 101.07 Ru.upf
Ac 227.00 Ac.upf
Dy 162.50 Dy.upf
ATOMIC_POSITIONS crystal
Ru 0.984 0.000 0.000
Ac 0.242 0.333 0.667
Dy 0.774 0.667 0.333
CELL_PARAMETERS angstrom
-1.220 -4.694 3.974
-1.112 -2.444 -3.228
3.990 0.068 1.305
! - Distance to the lowest polymorph of the same formula: 91.6 meV/atom
! - Calculated formation energy: -0.140 eV per atom
! - Uncorrected energy: -6.1357 eV per atom
! - Spin magnetization: 0.0 Bohr magnetons per cell
! - Mass density: 8.5 Mg/m³


Entry 2:
! AcDySnRu PBE optimized geometry; values from VASP
&SYSTEM
  ibrav = 0, nat = 4, ntyp = 4
/
ATOMIC_SPECIES
Ru 101.07 Ru.upf
Ac 227.00 Ac.upf
Sn 118.71 Sn.upf
Dy 162.50 Dy.upf
ATOMIC_POSITIONS crystal
Ru 0.750 0.750 0.750
Ac 0.000 0.000 0.000
Sn 0.250 0.250 0.250
Dy 0.500 0.500 0.500
CELL_PARAMETERS angstrom
-4.159 0.977 -3.159
-4.697 -2.267 1.014
-4.047 2.951 1.773
! - Calculated formation energy: -0.196 eV per atom
! - Uncorrected energy: -5.6930 eV per atom
! - Spin magnetization: 0.0 Bohr magnetons per cell
! - Mass density: 9.5 Mg/m³


Entry 3:
! AcDyTlRu PBE optimized geometry; values from VASP
&SYSTEM
  ibrav = 0, nat = 4, ntyp = 4
/
ATOMIC_SPECIES
Ru 101.07 Ru.upf
Ac 227.00 Ac.upf
Tl 204.38 Tl.upf
Dy 162.50 Dy.upf
ATOMIC_POSITIONS crystal
Ru 0.250 0.250 0.250
Ac 0.000 0.000 0.000
Tl 0.750 0.750 0.750
Dy 0.500 0.500 0.500
CELL_PARAMETERS angstrom
-0.235 5.014 -1.766
1.127 1.085 -5.086
-3.881 1.468 -3.330
! - Calculated formation energy: -0.079 eV per atom
! - Uncorrected energy: -5.1670 eV per atom
! - Spin magnetization: 0.0 Bohr magnetons per cell
! - Mass density: 10.8 Mg/m³